# 1
LiPdC2 (GGA-PBE, relaxed); ΔH_f (0 K) = 1.400 eV per atom; electronic total energy = -4.9890 eV/atom
1.0
0.0000 2.6438 2.6438
2.6438 0.0000 2.6438
2.6438 2.6438 0.0000
C Li Pd
2 1 1
Direct
0.7500 0.7500 0.7500 C
0.2500 0.2500 0.2500 C
0.0000 0.0000 0.0000 Li
0.5000 0.5000 0.5000 Pd



# 2
LiPdC3 (GGA-PBE, relaxed); ΔH_f (0 K) = 2.782 eV per atom; electronic total energy = -4.1734 eV/atom
1.0
-2.5290 -1.8472 1.9180
2.0632 0.3130 3.0219
-1.6835 3.1586 0.8222
C Li Pd
3 1 1
Direct
0.0000 0.0000 0.5000 C
0.0000 0.5000 0.0000 C
0.5000 0.0000 0.0000 C
0.0000 0.0000 0.0000 Li
0.5000 0.5000 0.5000 Pd



Which total magnetization belongs to each record? In order, 0.000; 0.000 μB/f.u..